Version w
A plane-wave DFT calculation with PBE was carried out for a relaxed structure of BeCoSe.

a b c (Å): 3.977 2.816 10.064
angles (deg): 90.00 90.00 134.92
Fractional positions:
1 Be 0.946 0.893 0.891
2 Be 0.946 0.893 0.109
3 Co 0.442 0.884 0.500
4 Co 0.446 0.893 0.000
5 Se 0.943 0.886 0.342
6 Se 0.943 0.886 0.658



Version x
A plane-wave DFT calculation with PBE was carried out for a relaxed structure of BeCoSe.

a b c (Å): 5.905 5.905 2.767
angles (deg): 76.45 76.45 27.10
Fractional positions:
1 Co 0.654 0.654 0.346
2 Be 0.053 0.053 0.947
3 Se 0.294 0.294 0.706



Version y
A plane-wave DFT calculation with PBE was carried out for a relaxed structure of BeCoSe.

a b c (Å): 3.788 3.788 3.788
angles (deg): 60.00 60.00 60.00
Fractional positions:
1 Co 0.750 0.750 0.750
2 Se 0.000 0.000 0.000
3 Be 0.500 0.500 0.500



Version z
A plane-wave DFT calculation with PBE was carried out for a relaxed structure of BeCoSe.

a b c (Å): 3.796 3.796 3.796
angles (deg): 60.00 60.00 60.00
Fractional positions:
1 Se 0.500 0.500 0.500
2 Co 0.000 0.000 0.000
3 Be 0.750 0.750 0.750



version y is favored, and the nearest alternative lies 0.211 eV/atom above it.